! GGA-PBE CdInHgPd, relaxed; values from VASP
! ΔH_f (0 K)	-0.087	eV/atom
! Fermi-level density of states	1.9	states/eV per cell
! total moment	0.0	μB per cell
&SYSTEM
  ibrav = 0, nat = 4, ntyp = 4
/
ATOMIC_SPECIES
Hg 200.59 Hg.upf
Cd 112.41 Cd.upf
In 114.82 In.upf
Pd 106.42 Pd.upf
ATOMIC_POSITIONS angstrom
Hg 0.000 0.000 0.000
Cd -3.444 -6.895 4.527
In -1.148 -2.298 1.509
Pd -2.296 -4.596 3.018
CELL_PARAMETERS angstrom
-2.796 -1.277 3.771
-2.856 -3.926 -0.309
1.061 -3.989 2.575